# 1
Here is a geometry-optimized Cs2GeCBr6 structure from Alexandria via LeMat-Bulk. Energies are from PBE.

abc: 7.5546 7.5546 7.5488
angles: 59.97 59.97 90.00
Fractional coordinates of all 10 atoms:
C1 0.5000 0.5000 0.0000
Ge1 0.0000 0.0000 0.0000
Br1 0.7388 0.7388 0.0000
Br2 0.7393 0.7393 0.5214
Br3 0.2612 0.7388 0.0000
Br4 0.7388 0.2612 0.0000
Br5 0.2607 0.2607 0.4786
Br6 0.2612 0.2612 0.0000
Cs1 0.2500 0.7500 0.5000
Cs2 0.7500 0.2500 0.5000

Results
E_tot	-30.057	eV/f.u.
theoretical density	4.53	g cm⁻³

***

# 2
Here is a geometry-optimized Cs2HfCBr6 structure from Alexandria via LeMat-Bulk. Energies are from PBE.

abc: 7.7698 7.7698 8.1548
angles: 61.55 61.55 90.00
Fractional coordinates of all 10 atoms:
Hf1 0.0000 0.0000 0.0000
Cs1 0.2500 0.7500 0.5000
Cs2 0.7500 0.2500 0.5000
Br1 0.2184 0.2184 0.5631
Br2 0.2399 0.2399 0.0000
Br3 0.7601 0.2399 0.0000
Br4 0.2399 0.7601 0.0000
Br5 0.7816 0.7816 0.4369
Br6 0.7601 0.7601 0.0000
C1 0.5000 0.5000 0.0000

Results
E_tot	-38.339	eV/f.u.
theoretical density	4.27	g cm⁻³

***

# 3
Here is a geometry-optimized Cs2HgCBr6 structure from Alexandria via LeMat-Bulk. Energies are from PBE.

abc: 7.6076 7.6076 7.6126
angles: 60.02 60.02 90.00
Fractional coordinates of all 10 atoms:
Br1 0.2657 0.2657 0.4685
Br2 0.7343 0.7343 0.5315
Br3 0.7334 0.7334 0.0000
Br4 0.2666 0.7334 0.0000
Br5 0.7334 0.2666 0.0000
Br6 0.2666 0.2666 0.0000
Cs1 0.7500 0.2500 0.5000
Cs2 0.2500 0.7500 0.5000
Hg1 0.0000 0.0000 0.0000
C1 0.5000 0.5000 0.0000

Results
E_tot	-25.109	eV/f.u.
theoretical density	5.10	g cm⁻³